Entry from Alexandria: a geometry-optimized LiLa2Cd6 structure (GGA-PBE). Values from VASP.

Quantum ESPRESSO input file:
```
&SYSTEM
  ibrav = 0, nat = 9, ntyp = 3
/
ATOMIC_SPECIES
Cd 112.41 Cd.upf
Li 6.94 Li.upf
La 138.91 La.upf
ATOMIC_POSITIONS crystal
Cd 0.500 0.676 0.324
Cd 0.501 0.000 0.324
Cd 0.501 0.324 0.000
Cd 0.499 0.000 0.676
Cd 0.499 0.676 0.000
Cd 0.500 0.324 0.676
Li 0.000 0.000 0.000
La 0.000 0.333 0.333
La 0.000 0.667 0.667
CELL_PARAMETERS angstrom
3.409 0.000 0.001
0.002 7.671 4.411
0.001 0.015 8.849
```

Values from the calculation:
crystal system = hexagonal
energy relative to the elements = -0.278 eV per atom
calculated volume = 25.68 A^3/atom
raw total energy = -2.1957 eV per atom
space-group type = P6/mmm (191)